# 1
A geometry-optimized Tb6Pm2Th3 structure, computed with PBE.

N(E_F) (states/eV/cell): 15.30
Formation energy from the elements (eV/atom): 0.16

Cell: 6.205 6.201 12.947 Å, 76.12 61.34 59.98°
Sites, in units of the cell vectors:
Tb  0.576  0.670  0.755
Tb  0.916  0.000  0.755
Tb  0.246  0.330  0.755
Tb  0.084  0.000  0.245
Tb  0.424  0.330  0.245
Tb  0.754  0.670  0.245
Pm  0.167  0.666  0.500
Pm  0.833  0.334  0.500
Th  0.000  0.000  0.000
Th  0.333  0.333  0.000
Th  0.667  0.667  0.000

=====

# 2
A geometry-optimized Ac6PmSm2 structure, computed with PBE.

N(E_F) (states/eV/cell): 29.18
Formation energy from the elements (eV/atom): 0.16

Cell: 9.840 13.043 13.043 Å, 80.95 132.51 132.51°
Sites, in units of the cell vectors:
Ac  0.396  0.614  0.704
Ac  0.104  0.296  0.386
Ac  0.604  0.386  0.296
Ac  0.896  0.704  0.614
Ac  0.677  0.841  0.282
Ac  0.823  0.718  0.159
Ac  0.323  0.159  0.718
Ac  0.177  0.282  0.841
Ac  0.929  0.632  0.933
Ac  0.571  0.067  0.368
Ac  0.071  0.368  0.067
Ac  0.429  0.933  0.632
Pm  0.250  0.028  0.972
Pm  0.750  0.972  0.028
Sm  0.103  0.533  0.819
Sm  0.397  0.181  0.467
Sm  0.897  0.467  0.181
Sm  0.603  0.819  0.533

=====

# 3
A geometry-optimized Na2LaCrP structure, computed with PBE.

N(E_F) (states/eV/cell): 4.00
Formation energy from the elements (eV/atom): 1.43

Cell: 5.798 5.798 4.503 Å, 90.00 90.00 90.00°
Sites, in units of the cell vectors:
Cr  0.000  0.000  0.500
Na  0.000  0.500  0.000
Na  0.500  0.000  0.000
P  0.500  0.500  0.500
La  0.000  0.000  0.000

=====

# 4
A geometry-optimized CoRu2W structure, computed with PBE.

Energy relative to the lowest polymorph listed for this composition (meV/atom): 179
N(E_F) (states/eV/cell): 4.34
Formation energy from the elements (eV/atom): 0.15

Cell: 2.734 2.734 7.377 Å, 90.00 90.00 90.00°
Sites, in units of the cell vectors:
Co  0.500  0.500  0.750
Ru  0.000  0.000  0.983
Ru  0.000  0.000  0.517
W  0.500  0.500  0.250

=====

# 5
A geometry-optimized Ca2BPd6 structure, computed with PBE.

N(E_F) (states/eV/cell): 4.01
Formation energy from the elements (eV/atom): -0.58

Cell: 5.000 5.900 5.900 Å, 59.99 89.99 89.99°
Sites, in units of the cell vectors:
Ca  0.772  0.667  0.667
Ca  0.228  0.333  0.333
B  0.000  0.000  0.000
Pd  0.261  0.329  0.836
Pd  0.261  0.836  0.836
Pd  0.261  0.836  0.329
Pd  0.739  0.671  0.164
Pd  0.739  0.164  0.164
Pd  0.739  0.164  0.671

=====

# 6
A geometry-optimized Ac3Pm6Tm2 structure, computed with PBE.

N(E_F) (states/eV/cell): 14.93
Formation energy from the elements (eV/atom): 0.05

Cell: 3.732 3.732 33.125 Å, 86.77 86.77 60.00°
Sites, in units of the cell vectors:
Ac  0.000  0.000  0.000
Ac  0.729  0.729  0.812
Ac  0.271  0.271  0.188
Pm  0.906  0.906  0.283
Pm  0.094  0.094  0.717
Pm  0.818  0.818  0.545
Pm  0.182  0.182  0.455
Pm  0.635  0.635  0.094
Pm  0.365  0.365  0.906
Tm  0.544  0.544  0.369
Tm  0.456  0.456  0.631

=====

# 7
A geometry-optimized PaCd2Pb structure, computed with PBE.

Energy relative to the lowest polymorph listed for this composition (meV/atom): 295
N(E_F) (states/eV/cell): 4.98
Formation energy from the elements (eV/atom): 0.33

Cell: 3.199 3.199 12.494 Å, 82.65 82.65 60.00°
Sites, in units of the cell vectors:
Pb  0.500  0.500  0.500
Pa  0.000  0.000  0.000
Cd  0.087  0.087  0.739
Cd  0.913  0.913  0.261

=====

# 8
A geometry-optimized CdCuIr2 structure, computed with PBE.

N(E_F) (states/eV/cell): 6.30
Formation energy from the elements (eV/atom): 0.34

Cell: 4.966 4.966 4.966 Å, 134.37 134.37 66.51°
Sites, in units of the cell vectors:
Cd  0.250  0.750  0.500
Cu  0.750  0.250  0.500
Ir  0.000  0.000  0.000
Ir  0.500  0.500  0.000

=====

# 9
A geometry-optimized K2Li2IrO6 structure, computed with PBE.

Raw formation energy (kJ per mole of atoms): -113.75
N(E_F) (states/eV/cell): 5.49

Cell: 6.381 6.381 5.155 Å, 97.26 97.26 118.55°
Sites, in units of the cell vectors:
K  0.342  0.658  0.500
K  0.658  0.342  0.500
Li  0.890  0.110  0.000
Li  0.110  0.890  0.000
Ir  0.000  0.000  0.500
O  0.813  0.813  0.736
O  0.037  0.283  0.717
O  0.187  0.187  0.264
O  0.283  0.037  0.717
O  0.963  0.717  0.283
O  0.717  0.963  0.283

=====

# 10
A geometry-optimized LiU2Ge3Pt4 structure, computed with PBE.

N(E_F) (states/eV/cell): 17.87
Formation energy from the elements (eV/atom): -0.56

Cell: 4.037 4.037 11.232 Å, 90.00 90.00 90.00°
Sites, in units of the cell vectors:
Li  0.500  0.500  0.500
U  0.500  0.000  0.252
U  0.000  0.500  0.748
Ge  0.000  0.000  0.500
Ge  0.500  0.000  0.863
Ge  0.000  0.500  0.137
Pt  0.500  0.500  0.000
Pt  0.000  0.000  0.000
Pt  0.500  0.000  0.644
Pt  0.000  0.500  0.356

=====

# 11
A geometry-optimized Rb2NdInCl6 structure, computed with PBE.

Raw formation energy (kJ per mole of atoms): -182.57
N(E_F) (states/eV/cell): 0.00

Cell: 7.786 8.247 11.182 Å, 90.00 88.98 90.00°
Sites, in units of the cell vectors:
Rb  0.026  0.930  0.254
Rb  0.526  0.570  0.754
Rb  0.974  0.070  0.746
Rb  0.474  0.430  0.246
Nd  0.500  0.000  0.500
Nd  0.000  0.500  0.000
In  0.500  0.000  0.000
In  0.000  0.500  0.500
Cl  0.285  0.682  0.053
Cl  0.785  0.818  0.553
Cl  0.715  0.318  0.947
Cl  0.215  0.182  0.447
Cl  0.326  0.723  0.433
Cl  0.826  0.777  0.933
Cl  0.674  0.277  0.567
Cl  0.174  0.223  0.067
Cl  0.883  0.547  0.231
Cl  0.383  0.953  0.731
Cl  0.117  0.453  0.769
Cl  0.617  0.047  0.269

=====

# 12
A geometry-optimized NaOsPbBr2 structure, computed with PBE.

Raw formation energy (kJ per mole of atoms): 79.28
N(E_F) (states/eV/cell): 0.80

Cell: 5.195 5.646 5.195 Å, 90.00 90.00 90.00°
Sites, in units of the cell vectors:
Pb  0.500  0.500  0.500
Na  0.000  0.000  0.000
Os  0.000  0.500  0.000
Br  0.000  0.000  0.500
Br  0.500  0.000  0.000

=====

Q: Which value of N(E_F) does entry 10 give?
A: 17.87 states/eV/cell